This record from Alexandria describes a relaxed structure of Mn2TcBi. The functional is PBE.

Cell lengths 6.9166, 6.9166, 5.6545 Å; angles 52.29, 52.29, 90.00 degrees
Element x y z (fractional)
Mn 0.5710 0.1250 0.2500
Mn 0.1790 0.6250 0.2500
Mn 0.3750 0.4290 0.7500
Mn 0.8750 0.8210 0.7500
Bi 0.0000 0.0000 0.0000
Bi 0.7500 0.2500 0.5000
Tc 0.5000 0.5000 0.0000
Tc 0.2500 0.7500 0.5000

Values from the calculation:
The calculation puts the formation energy from the elements at 954.5 meV/atom.


This record from Alexandria describes a relaxed structure of CsLa2IrO8. The functional is PBE.

Cell lengths 4.5547, 5.3059, 7.9416 Å; angles 90.73, 74.11, 91.72 degrees
Last column: magnetic moment on the atom in μB.
Element x y z (fractional)
Cs 0.0000 0.0000 0.5000  0.00
La 0.3793 0.4963 0.8061  0.01
La 0.6207 0.5037 0.1939  0.01
Ir 0.0000 0.0000 0.0000  0.63
O 0.1600 0.7109 0.0982  0.06
O 0.7910 0.7576 0.8917  0.07
O 0.6631 0.9998 0.2073  0.14
O 0.8400 0.2891 0.9018  0.06
O 0.2090 0.2424 0.1083  0.07
O 0.3369 0.0002 0.7927  0.14
O 0.3349 0.5093 0.5064  -0.03
O 0.6651 0.4907 0.4936  -0.03

Values from the calculation:
Its uncorrected formation energy is -1.84 eV per atom.


This record from Alexandria describes a relaxed structure of Nd2P7Pd12. The functional is PBE.

Cell lengths 4.0753, 9.7759, 9.7759 Å; angles 120.00, 90.00, 90.00 degrees
Element x y z (fractional)
Nd 0.2505 0.3333 0.6667
Nd 0.7495 0.6667 0.3333
P 0.5000 0.0000 0.0000
P 0.2480 0.8839 0.2950
P 0.2480 0.4111 0.1161
P 0.2480 0.7050 0.5889
P 0.7520 0.1161 0.7050
P 0.7520 0.5889 0.8839
P 0.7520 0.2950 0.4111
Pd 0.2522 0.6227 0.0599
Pd 0.2522 0.4372 0.3773
Pd 0.2522 0.9401 0.5628
Pd 0.7478 0.3773 0.9401
Pd 0.7478 0.5628 0.6227
Pd 0.7478 0.0599 0.4372
Pd 0.2379 0.1036 0.2485
Pd 0.2379 0.1448 0.8964
Pd 0.2379 0.7515 0.8552
Pd 0.7621 0.8964 0.7515
Pd 0.7621 0.8552 0.1036
Pd 0.7621 0.2485 0.1448

Values from the calculation:
The calculation puts the formation energy from the elements at -706.8 meV/atom.


This record from Alexandria describes a relaxed structure of CsCdS2Br. The functional is PBE.

Cell lengths 5.5442, 6.7955, 5.5442 Å; angles 90.00, 90.00, 90.00 degrees
Last column: magnetic moment on the atom in μB.
Element x y z (fractional)
Cs 0.0000 0.0000 0.0000  0.07
S 0.0000 0.0000 0.5000  0.39
S 0.5000 0.0000 0.0000  0.34
Br 0.0000 0.5000 0.0000  -0.04
Cd 0.5000 0.5000 0.5000  -0.01

Values from the calculation:
Its uncorrected formation energy is 0.71 eV per atom.